This record from the Alexandria database describes a relaxed structure of AlGa3Pb. The functional is GGA-PBE.

Computed properties:
The density of states at the Fermi level is 0.49 states/eV per atom. Its raw total energy is -3.019 eV per atom. For the formation enthalpy at 0 K, the calculation gives 0.29 eV/atom. The calculation puts the size of the total moment at 0.000 μB per atom. Its space group is Pm-3m.

abc: 4.998 4.998 4.998
angles: 90.00 90.00 90.00
Atoms (fractional coordinates):
Al: 0.000 0.000 0.000
Ga: 0.500 0.000 0.000
Pb: 0.500 0.500 0.500
Ga: 0.000 0.500 0.000
Ga: 0.000 0.000 0.500



This record from the Alexandria database describes a relaxed structure of FeCuSnRh2. The functional is GGA-PBE.

Computed properties:
The density of states at the Fermi level is 0.94 states/eV per atom. Its raw total energy is -5.334 eV per atom. For the formation enthalpy at 0 K, the calculation gives 0.92 eV/atom. The calculation puts the size of the total moment at 0.564 μB per atom. Its space group is P4/mmm.

abc: 4.503 4.742 4.503
angles: 90.00 90.00 90.00
Atoms (fractional coordinates):
Sn: 0.000 0.500 0.000
Rh: 0.000 0.000 0.500
Cu: 0.500 0.500 0.500
Fe: 0.000 0.000 0.000
Rh: 0.500 0.000 0.000



This record from the Alexandria database describes a relaxed structure of Ti2BeNiH. The functional is GGA-PBE.

Computed properties:
The density of states at the Fermi level is 0.87 states/eV per atom. Its raw total energy is -5.976 eV per atom. The calculation puts the size of the total moment at 0.115 μB per atom. Its space group is P4/mmm.

abc: 3.992 3.992 3.468
angles: 90.00 90.00 90.00
Atoms (fractional coordinates):
Ti: 0.000 0.500 0.000
Ni: 0.000 0.000 0.500
Ti: 0.500 0.000 0.000
H: 0.000 0.000 0.000
Be: 0.500 0.500 0.500



This record from the Alexandria database describes a relaxed structure of MgAl2Co. The functional is GGA-PBE.

Computed properties:
The density of states at the Fermi level is 0.57 states/eV per atom. Its raw total energy is -4.148 eV per atom. For the formation enthalpy at 0 K, the calculation gives -0.10 eV/atom. The calculation puts the size of the total moment at 0.000 μB per atom. Its space group is Cm.

abc: 5.055 5.055 4.278
angles: 65.26 65.26 36.93
Atoms (fractional coordinates):
Al: 0.004 0.004 0.996
Al: 0.778 0.778 0.721
Mg: 0.229 0.229 0.270
Co: 0.489 0.489 0.513



This record from the Alexandria database describes a relaxed structure of CaTl2Ag. The functional is GGA-PBE.

Computed properties:
The density of states at the Fermi level is 0.47 states/eV per atom. Its raw total energy is -2.545 eV per atom. For the formation enthalpy at 0 K, the calculation gives -0.15 eV/atom. The calculation puts the size of the total moment at 0.000 μB per atom. Its space group is P4/mmm.

abc: 3.704 3.704 7.504
angles: 90.00 90.00 90.00
Atoms (fractional coordinates):
Tl: 0.000 0.000 0.031
Ca: 0.500 0.500 0.750
Ag: 0.500 0.500 0.250
Tl: 0.000 0.000 0.469



This record from the Alexandria database describes a relaxed structure of Ca6Mg6Cu. The functional is GGA-PBE.

Computed properties:
The density of states at the Fermi level is 0.63 states/eV per atom. Its raw total energy is -1.622 eV per atom. For the formation enthalpy at 0 K, the calculation gives 0.35 eV/atom. The calculation puts the size of the total moment at 0.000 μB per atom. Its space group is P6/mmm.

abc: 7.021 7.021 10.692
angles: 90.00 90.00 120.00
Atoms (fractional coordinates):
Mg: 0.667 0.333 0.500
Mg: 0.000 0.000 0.650
Mg: 0.333 0.667 0.000
Mg: 0.000 0.000 0.350
Mg: 0.333 0.667 0.500
Ca: 0.500 0.500 0.755
Ca: 0.500 0.000 0.245
Cu: 0.000 0.000 0.000
Ca: 0.500 0.000 0.755
Ca: 0.000 0.500 0.245
Ca: 0.000 0.500 0.755
Mg: 0.667 0.333 0.000
Ca: 0.500 0.500 0.245